A relaxed TbPrPb2O8 crystal. Source: Alexandria via LeMat-Bulk, functional GGA-PBE.

Results
**Crystal system**: tetragonal
**Density**: 8.052 g/cm³
**Formation energy (no corrections)**: -1995 kJ/mol of formula units
**Raw total energy**: -6.43 eV per atom

POSCAR file:
```
TbPrPb2O8
1.0
-2.836 2.836 5.400
2.836 -2.836 5.400
2.836 2.836 -5.400
Tb Pr Pb O
1 1 2 8
direct
0.000 0.000 0.000
0.250 0.750 0.500
0.500 0.500 0.000
0.750 0.250 0.500
0.047 0.093 0.440
0.195 0.658 0.042
0.342 0.384 0.536
0.393 0.953 0.046
0.616 0.153 0.958
0.653 0.607 0.560
0.847 0.805 0.464
0.907 0.347 0.954
```